one:
DFT (GGA-PBEsol) results for crystalline MoW at its relaxed geometry.

Unit cell a=6.2798 b=6.2798 c=6.2798 alpha=90.00 beta=90.00 gamma=90.00
Closest atoms and distances in Å follow each position.
Space group Fd-3m (No. 227, origin choice 2)
One atom of each set of equivalent atoms:
Mo 0.1250 0.1250 0.1250 (multiplicity 8)  4 W 2.72, 4 Mo 2.72
W 0.1250 0.1250 0.6250 (multiplicity 8)  4 Mo 2.72, 4 W 2.72

* crystal system: cubic

=====

two:
DFT (GGA-PBEsol) results for crystalline MoW at its relaxed geometry.

Unit cell a=10.7469 b=2.5790 c=5.1955 alpha=90.00 beta=118.57 gamma=90.00
Closest atoms and distances in Å follow each position.
Space group C2/m (No. 12)
One atom of each set of equivalent atoms:
Mo 0.1231 0.0000 0.2748 (multiplicity 4)  3 Mo 2.58-2.82, 5 W 2.82-2.88
W 0.1267 0.5000 0.7749 (multiplicity 4)  5 W 2.58-2.87, 5 Mo 2.82-2.88

* crystal system: monoclinic

=====

Most stable to least stable, the ends of the list are one and two.

=====

one:
DFT (GGA-PBEsol) results for crystalline MoW2 at its relaxed geometry.

Unit cell a=3.1474 b=3.1474 c=9.4151 alpha=90.00 beta=90.00 gamma=90.00
Closest atoms and distances in Å follow each position.
Space group I4/mmm (No. 139)
One atom of each set of equivalent atoms:
Mo 0.0000 0.0000 0.0000 (multiplicity 2)  8 W 2.72
W 0.0000 0.0000 0.3337 (multiplicity 4)  4 Mo 2.72, 4 W 2.73

* crystal system: tetragonal

=====

two:
DFT (GGA-PBEsol) results for crystalline MoW2 at its relaxed geometry.

Unit cell a=6.0407 b=6.0407 c=6.0407 alpha=90.00 beta=90.00 gamma=90.00
Closest atoms and distances in Å follow each position.
Space group Fm-3m (No. 225)
One atom of each set of equivalent atoms:
Mo 0.0000 0.0000 0.0000 (multiplicity 4)  8 W 2.62
W 0.2500 0.2500 0.2500 (multiplicity 8)  4 Mo 2.62

* crystal system: cubic

=====

Most stable to least stable, the ends of the list are one and two.

=====

one:
DFT (GGA-PBEsol) results for crystalline Mo3W5 at its relaxed geometry.

Unit cell a=6.2874 b=8.8919 c=8.8918 alpha=90.00 beta=90.00 gamma=90.00
Closest atoms and distances in Å follow each position.
Space group Amm2 (No. 38)
One atom of each set of equivalent atoms:
Mo 0.0000 0.0000 0.0000 (multiplicity 2)  2 Mo 2.72, 6 W 2.72
Mo 0.0000 0.2497 0.2495 (multiplicity 4)  2 Mo 2.72, 6 W 2.72
Mo 0.2495 0.0000 0.2495 (multiplicity 4)  4 W 2.72, 4 Mo 2.72
Mo 0.5000 0.0000 0.4991 (multiplicity 2)  2 Mo 2.72, 6 W 2.72-2.73
W 0.0000 0.0000 0.4988 (multiplicity 2)  2 Mo 2.72, 6 W 2.72
W 0.2494 0.0000 0.7495 (multiplicity 4)  4 Mo 2.72-2.73, 4 W 2.72-2.73
W 0.2494 0.2500 0.4995 (multiplicity 8)  4 Mo 2.72, 4 W 2.72
W 0.5000 0.0000 0.0000 (multiplicity 2)  2 Mo 2.72, 6 W 2.72-2.73
W 0.5000 0.2494 0.2495 (multiplicity 4)  2 Mo 2.72, 6 W 2.72-2.73

* crystal system: orthorhombic

=====

two:
DFT (GGA-PBEsol) results for crystalline Mo3W5 at its relaxed geometry.

Unit cell a=6.2782 b=8.8756 c=4.4551 alpha=90.00 beta=90.00 gamma=90.00
Closest atoms and distances in Å follow each position.
Space group Cmmm (No. 65)
One atom of each set of equivalent atoms:
Mo 0.0000 0.0000 0.0000 (multiplicity 2)  8 W 2.72
Mo 0.0000 0.2502 0.5000 (multiplicity 4)  8 W 2.72
W 0.0000 0.5000 0.0000 (multiplicity 2)  8 W 2.72-2.73
W 0.2494 0.0000 0.5000 (multiplicity 4)  6 Mo 2.72, 2 W 2.73
W 0.2500 0.2500 0.0000 (multiplicity 4)  6 Mo 2.72, 2 W 2.72

* crystal system: orthorhombic

=====

Most stable to least stable, the ends of the list are two and one.

=====

one:
DFT (GGA-PBEsol) results for crystalline Y2MoW at its relaxed geometry.

Unit cell a=3.3417 b=5.0274 c=10.0278 alpha=90.00 beta=90.00 gamma=90.00
Closest atoms and distances in Å follow each position.
Space group Cmm2 (No. 35)
One atom of each set of equivalent atoms:
Y 0.0000 0.0000 0.0000 (multiplicity 2)  2 Mo 2.92, 4 Y 3.02
Y 0.0000 0.5000 0.3278 (multiplicity 2)  2 W 2.96, 4 Y 3.02
Mo 0.0000 0.5000 0.7609 (multiplicity 2)  2 W 2.53
W 0.0000 0.0000 0.5711 (multiplicity 2)  2 Mo 2.53

* crystal system: orthorhombic

=====

two:
DFT (GGA-PBEsol) results for crystalline Y2MoW at its relaxed geometry.

Unit cell a=2.9244 b=4.8894 c=5.7097 alpha=90.00 beta=103.05 gamma=90.00
Closest atoms and distances in Å follow each position.
Space group P2/m (No. 10)
One atom of each set of equivalent atoms:
Y 0.1974 0.0000 0.2495 (multiplicity 2)  4 Y 2.82-3.01, 2 Mo 2.95, 2 W 3.06
Mo 0.0000 0.5000 0.5000 (multiplicity 1)  2 W 2.90, 2 Mo 2.92, 4 Y 2.95
W 0.5000 0.5000 0.0000 (multiplicity 1)  2 Mo 2.90, 2 W 2.92, 4 Y 3.06

* crystal system: monoclinic

=====

Most stable to least stable, the ends of the list are one and two.

=====

one:
DFT (GGA-PBEsol) results for crystalline YMoW2 at its relaxed geometry.

Unit cell a=2.7118 b=4.7702 c=5.4680 alpha=90.00 beta=90.00 gamma=90.00
Closest atoms and distances in Å follow each position.
Space group Pmmm (No. 47)
One atom of each set of equivalent atoms:
Y 0.0000 0.0000 0.0000 (multiplicity 1)  2 Y 2.71, 2 Mo 2.73
Mo 0.0000 0.0000 0.5000 (multiplicity 1)  2 Mo 2.71, 2 Y 2.73
W 0.5000 0.5000 0.2603 (multiplicity 2)  4 W 2.62-2.85

* crystal system: orthorhombic

=====

two:
DFT (GGA-PBEsol) results for crystalline YMoW2 at its relaxed geometry.

Unit cell a=5.3983 b=9.6210 c=2.7156 alpha=90.00 beta=90.00 gamma=90.00
Closest atoms and distances in Å follow each position.
Space group Cmmm (No. 65)
One atom of each set of equivalent atoms:
Y 0.0000 0.0000 0.0000 (multiplicity 2)  2 Mo 2.70, 2 Y 2.72
Mo 0.0000 0.5000 0.0000 (multiplicity 2)  2 Y 2.70, 2 Mo 2.72
W 0.2500 0.2500 0.5000 (multiplicity 4)  4 W 2.70-2.72

* crystal system: orthorhombic

=====

three:
DFT (GGA-PBEsol) results for crystalline YMoW2 at its relaxed geometry.

Unit cell a=3.2110 b=4.6052 c=9.4288 alpha=90.00 beta=90.00 gamma=90.00
Closest atoms and distances in Å follow each position.
Space group Cmmm (No. 65)
One atom of each set of equivalent atoms:
Y 0.0000 0.0000 0.0000 (multiplicity 2)  4 Y 2.81, 4 W 3.05
Mo 0.0000 0.0000 0.5000 (multiplicity 2)  4 W 2.66, 4 Mo 2.81
W 0.0000 0.5000 0.2752 (multiplicity 4)  2 Mo 2.66, 4 W 2.81

* crystal system: orthorhombic

=====

Most stable to least stable, the ends of the list are three and one.

=====

one:
DFT (GGA-PBEsol) results for crystalline ZnMo2 at its relaxed geometry.

Unit cell a=4.4140 b=4.4140 c=2.6285 alpha=90.00 beta=90.00 gamma=120.00
Closest atoms and distances in Å follow each position.
Space group P-3m1 (No. 164)
One atom of each set of equivalent atoms:
Zn 0.0000 0.0000 0.0000 (multiplicity 1)  2 Zn 2.63, 6 Mo 2.72
Mo 0.3333 0.6667 0.3667 (multiplicity 2)  5 Mo 2.63-2.64, 3 Zn 2.72

* crystal system: trigonal

=====

two:
DFT (GGA-PBEsol) results for crystalline ZnMo2 at its relaxed geometry.

Unit cell a=10.5630 b=2.5841 c=6.7249 alpha=90.00 beta=103.24 gamma=90.00
Closest atoms and distances in Å follow each position.
Space group C2/m (No. 12)
One atom of each set of equivalent atoms:
Zn 0.2025 0.0000 0.1432 (multiplicity 4)  4 Zn 2.58-2.70, 8 Mo 2.78-2.85
Mo 0.0258 0.5000 0.8164 (multiplicity 4)  7 Mo 2.58-2.84, 5 Zn 2.80-2.85
Mo 0.1359 0.0000 0.5203 (multiplicity 4)  9 Mo 2.58-2.84, 3 Zn 2.78-2.82

* crystal system: monoclinic

=====

Most stable to least stable, the ends of the list are one and two.

=====

one:
DFT (GGA-PBEsol) results for crystalline Zr3Mo at its relaxed geometry.

Unit cell a=4.7998 b=4.7998 c=3.4059 alpha=90.00 beta=90.00 gamma=90.00
Closest atoms and distances in Å follow each position.
Space group P4/mmm (No. 123)
One atom of each set of equivalent atoms:
Zr 0.0000 0.0000 0.0000 (multiplicity 1)  8 Zr 2.94
Zr 0.0000 0.5000 0.5000 (multiplicity 2)  4 Mo 2.94, 4 Zr 2.94
Mo 0.5000 0.5000 0.0000 (multiplicity 1)  8 Zr 2.94

* crystal system: tetragonal

=====

two:
DFT (GGA-PBEsol) results for crystalline Zr3Mo at its relaxed geometry.

Unit cell a=3.3788 b=9.6918 c=4.9285 alpha=90.00 beta=90.00 gamma=90.00
Closest atoms and distances in Å follow each position.
Space group Imm2 (No. 44)
One atom of each set of equivalent atoms:
Zr 0.0000 0.0000 0.0000 (multiplicity 2)  4 Mo 2.89-3.09, 6 Zr 3.19-3.22
Zr 0.0000 0.2207 0.5124 (multiplicity 4)  2 Mo 2.73, 4 Zr 3.04
Mo 0.0000 0.5000 0.9755 (multiplicity 2)  6 Zr 2.73-2.89

* crystal system: orthorhombic

=====

three:
DFT (GGA-PBEsol) results for crystalline Zr3Mo at its relaxed geometry.

Unit cell a=3.3350 b=3.3350 c=7.2136 alpha=90.00 beta=90.00 gamma=90.00
Closest atoms and distances in Å follow each position.
Space group P4/mmm (No. 123)
One atom of each set of equivalent atoms:
Zr 0.0000 0.0000 0.0000 (multiplicity 1)  12 Zr 3.11-3.34
Zr 0.5000 0.5000 0.2819 (multiplicity 2)  4 Mo 2.83, 5 Zr 3.11-3.15
Mo 0.0000 0.0000 0.5000 (multiplicity 1)  8 Zr 2.83

* crystal system: tetragonal

=====

Most stable to least stable, the ends of the list are two and one.